1.
Below is an optimized crystal structure of In2Sn2Sb, with properties calculated at the PBE level.

Calculated values
Energy relative to the lowest polymorph listed for this composition: 23.9 meV/atom
E: -33.90 eV per cell
Formation energy from raw total energies: 0.131 eV/atom
Size of the total moment: 0.00 μB per cell
Space group: P4/mbm, No. 127
Theoretical density: 7.0 g/cm³

Geometry as POSCAR:
```
In2Sn2Sb
1.0
8.9933 0.0000 0.0000
0.0000 8.9933 0.0000
0.0000 0.0000 3.4468
In Sn Sb
4 4 2
Cartesian
1.4982 2.9984 0.0000 In
2.9984 7.4951 0.0000 In
5.9949 1.4982 0.0000 In
7.4951 5.9949 0.0000 In
1.1834 5.6801 1.7234 Sn
3.3132 1.1834 1.7234 Sn
5.6801 7.8099 1.7234 Sn
7.8099 3.3132 1.7234 Sn
0.0000 0.0000 0.0000 Sb
4.4966 4.4966 0.0000 Sb
```

2.
Below is an optimized crystal structure of Cs3ScN, with properties calculated at the PBE level.

Calculated values
E: -9.45 eV per cell
Formation energy from raw total energies: 1.553 eV/atom
Size of the total moment: 1.00 μB per cell
Space group: Pm-3m, No. 221
Theoretical density: 1.9 g/cm³

Geometry as POSCAR:
```
Cs3ScN
1.0
7.4043 0.0000 0.0000
0.0000 7.4043 0.0000
0.0000 0.0000 7.4043
Cs Sc N
3 1 1
Cartesian
0.0000 0.0000 3.7022 Cs
0.0000 3.7022 0.0000 Cs
3.7022 0.0000 0.0000 Cs
0.0000 0.0000 0.0000 Sc
3.7022 3.7022 3.7022 N
```

3.
Below is an optimized crystal structure of K2RbTlF6, with properties calculated at the PBE level.

Calculated values
E: -82.85 eV per cell
Formation energy from raw total energies: -2.467 eV/atom
Size of the total moment: 0.22 μB per cell
Space group: P2_1/c, No. 14
Theoretical density: 3.9 g/cm³

Geometry as POSCAR:
```
K2RbTlF6
1.0
6.4521 0.0000 0.0000
0.0000 6.8143 0.0000
-6.2370 0.0000 9.2431
K Rb Tl F
4 2 2 12
Cartesian
-0.0269 0.3253 2.1596 K
-3.1454 3.0818 6.7811 K
3.3605 3.7325 2.4620 K
0.2420 6.4890 7.0835 K
-3.1185 0.0000 4.6215 Rb
0.0000 3.4071 0.0000 Rb
3.2261 0.0000 0.0000 Tl
0.1076 3.4071 4.6215 Tl
-4.8725 1.1111 8.8877 F
-1.7540 2.2960 4.2662 F
-4.0485 5.0414 8.4016 F
-0.9300 5.1800 3.7801 F
-2.2702 0.5855 7.2454 F
0.8483 2.8217 2.6239 F
-0.6331 3.9926 6.6192 F
2.4854 6.2288 1.9976 F
1.1451 1.6342 5.4630 F
4.2636 1.7729 0.8414 F
1.9691 4.5183 4.9769 F
5.0876 5.7032 0.3554 F
```

4.
Below is an optimized crystal structure of NaGaSeN2, with properties calculated at the PBE level.

Calculated values
Energy relative to the lowest polymorph listed for this composition: 0.0 meV/atom
E: -20.21 eV per cell
Formation energy from raw total energies: 0.854 eV/atom
Size of the total moment: 4.02 μB per cell
Space group: P4/mmm, No. 123
Theoretical density: 3.8 g/cm³

Geometry as POSCAR:
```
NaGaSeN2
1.0
4.0510 0.0000 0.0000
0.0000 4.0510 0.0000
0.0000 0.0000 5.3742
Na Ga Se N
1 1 1 2
Cartesian
0.0000 0.0000 0.0000 Na
2.0255 2.0255 2.6871 Ga
2.0255 2.0255 0.0000 Se
0.0000 2.0255 2.6871 N
2.0255 0.0000 2.6871 N
```

5.
Below is an optimized crystal structure of SmTh3Os2, with properties calculated at the PBE level.

Calculated values
E: -101.54 eV per cell
Size of the total moment: 0.00 μB per cell
Space group: C2/c, No. 15
Theoretical density: 12.6 g/cm³

Geometry as POSCAR:
```
SmTh3Os2
1.0
6.4666 -3.3203 0.0000
6.4666 3.3203 0.0000
-2.4107 0.0000 7.5262
Sm Th Os
2 6 4
Cartesian
4.6586 1.7505 5.6446 Sm
5.8640 -1.7505 1.8815 Sm
1.3251 0.0197 4.5739 Th
2.5304 -0.0197 0.8108 Th
5.8640 1.5381 1.8815 Th
4.6586 -1.5381 5.6446 Th
7.9921 0.0197 6.7154 Th
9.1975 -0.0197 2.9523 Th
3.7650 0.0117 3.2842 Os
2.5597 -0.0117 7.0473 Os
7.9629 0.0117 0.4789 Os
6.7575 -0.0117 4.2420 Os
```

6.
Below is an optimized crystal structure of CaMg6Ir6, with properties calculated at the PBE level.

Calculated values
E: -68.78 eV per cell
Size of the total moment: 0.67 μB per cell
Space group: Immm, No. 71
Theoretical density: 9.7 g/cm³

Geometry as POSCAR:
```
CaMg6Ir6
1.0
-2.7098 4.5020 4.7064
2.7098 -4.5020 4.7064
2.7098 4.5020 -4.7064
Ca Mg Ir
1 6 6
Cartesian
0.0000 0.0000 0.0000 Ca
2.7098 0.0000 1.7455 Mg
0.0000 2.9793 0.0000 Mg
0.0000 0.0000 3.2557 Mg
0.0000 0.0000 6.1572 Mg
0.0000 6.0246 0.0000 Mg
0.0000 4.5020 2.9610 Mg
1.3549 2.2510 -2.3532 Ir
1.3549 -2.2510 2.3532 Ir
2.7098 2.1331 0.0000 Ir
-1.3549 2.2510 2.3532 Ir
1.3549 2.2510 2.3532 Ir
0.0000 2.3688 4.7064 Ir
```

7.
Below is an optimized crystal structure of Na2In4Ag, with properties calculated at the PBE level.

Calculated values
E: -16.13 eV per cell
Size of the total moment: 0.00 μB per cell
Space group: Cmmm, No. 65
Theoretical density: 4.6 g/cm³

Geometry as POSCAR:
```
Na2In4Ag
1.0
3.0336 -7.4397 0.0000
3.0336 7.4397 0.0000
0.0000 0.0000 4.8889
Na In Ag
2 4 1
Cartesian
3.0336 5.3077 0.0000 Na
3.0336 -5.3077 0.0000 Na
3.0336 3.0833 2.4445 In
3.0336 1.4527 0.0000 In
3.0336 -1.4527 0.0000 In
3.0336 -3.0833 2.4445 In
3.0336 0.0000 2.4445 Ag
```

8.
Below is an optimized crystal structure of Ho12Ga6C, with properties calculated at the PBE level.

Calculated values
E: -89.47 eV per cell
Size of the total moment: 0.00 μB per cell
Space group: R-3, No. 148
Theoretical density: 8.2 g/cm³

Geometry as POSCAR:
```
Ho12Ga6C
1.0
5.7682 3.3303 4.2384
-5.7682 3.3303 4.2384
0.0000 -6.6605 4.2384
Ho Ga C
12 6 1
Cartesian
-5.1078 -1.4884 7.0597 Ho
-1.2650 -5.1677 5.6555 Ho
-1.2932 -1.5819 4.9300 Ho
-3.8429 3.6793 5.6555 Ho
-0.7234 1.9109 4.9300 Ho
-2.0166 0.3290 7.7852 Ho
2.0166 -0.3289 4.9300 Ho
0.7234 -1.9109 7.7852 Ho
3.8429 -3.6793 7.0597 Ho
1.2932 1.5819 7.7852 Ho
1.2650 5.1677 7.0597 Ho
5.1078 1.4883 5.6555 Ho
-3.4421 0.5911 5.2522 Ga
-2.2329 -2.6854 7.4630 Ga
1.2091 -3.2765 5.2522 Ga
-1.2091 3.2765 7.4630 Ga
2.2329 2.6854 5.2522 Ga
3.4421 -0.5911 7.4630 Ga
0.0000 0.0000 0.0000 C
```

9.
Below is an optimized crystal structure of Tb3Al2Fe7, with properties calculated at the PBE level.

Calculated values
E: -82.97 eV per cell
Size of the total moment: 11.51 μB per cell
Space group: R-3m, No. 166
Theoretical density: 8.1 g/cm³

Geometry as POSCAR:
```
Tb3Al2Fe7
1.0
2.5904 1.4956 8.1349
-2.5904 1.4956 8.1349
0.0000 -2.9912 8.1349
Tb Al Fe
3 2 7
Cartesian
0.0000 0.0000 0.0000 Tb
0.0000 0.0000 3.4260 Tb
0.0000 0.0000 20.9787 Tb
0.0000 0.0000 8.1212 Al
0.0000 0.0000 16.2834 Al
-1.2861 -0.7426 10.1619 Fe
0.0000 -1.4851 14.2428 Fe
-1.2861 0.7426 14.2428 Fe
0.0000 0.0000 12.2023 Fe
1.2861 -0.7426 10.1619 Fe
0.0000 1.4851 10.1619 Fe
1.2861 0.7426 14.2428 Fe
```

10.
Below is an optimized crystal structure of HoNpS2, with properties calculated at the PBE level.

Calculated values
Energy relative to the lowest polymorph listed for this composition: 0.0 meV/atom
E: -64.77 eV per cell
Formation energy from raw total energies: -1.653 eV/atom
Size of the total moment: 8.30 μB per cell
Space group: P6_3/mmc, No. 194
Theoretical density: 9.2 g/cm³

Geometry as POSCAR:
```
HoNpS2
1.0
3.8713 0.0000 0.0000
-1.9356 3.3526 0.0000
0.0000 0.0000 12.9455
Ho Np S
2 2 4
Cartesian
0.0000 2.2351 3.2364 Ho
1.9356 1.1175 9.7091 Ho
0.0000 0.0000 0.0000 Np
0.0000 0.0000 6.4728 Np
0.0000 2.2351 8.0629 S
0.0000 2.2351 11.3554 S
1.9356 1.1175 1.5901 S
1.9356 1.1175 4.8827 S
```

Copy entry 9 word for word.
Below is an optimized crystal structure of Tb3Al2Fe7, with properties calculated at the PBE level.

Calculated values
E: -82.97 eV per cell
Size of the total moment: 11.51 μB per cell
Space group: R-3m, No. 166
Theoretical density: 8.1 g/cm³

Geometry as POSCAR:
```
Tb3Al2Fe7
1.0
2.5904 1.4956 8.1349
-2.5904 1.4956 8.1349
0.0000 -2.9912 8.1349
Tb Al Fe
3 2 7
Cartesian
0.0000 0.0000 0.0000 Tb
0.0000 0.0000 3.4260 Tb
0.0000 0.0000 20.9787 Tb
0.0000 0.0000 8.1212 Al
0.0000 0.0000 16.2834 Al
-1.2861 -0.7426 10.1619 Fe
0.0000 -1.4851 14.2428 Fe
-1.2861 0.7426 14.2428 Fe
0.0000 0.0000 12.2023 Fe
1.2861 -0.7426 10.1619 Fe
0.0000 1.4851 10.1619 Fe
1.2861 0.7426 14.2428 Fe
```

What is the size of the total moment in the third record? 0.22 μB per cell

Please write out number 1 again, unchanged.
Below is an optimized crystal structure of In2Sn2Sb, with properties calculated at the PBE level.

Calculated values
Energy relative to the lowest polymorph listed for this composition: 23.9 meV/atom
E: -33.90 eV per cell
Formation energy from raw total energies: 0.131 eV/atom
Size of the total moment: 0.00 μB per cell
Space group: P4/mbm, No. 127
Theoretical density: 7.0 g/cm³

Geometry as POSCAR:
```
In2Sn2Sb
1.0
8.9933 0.0000 0.0000
0.0000 8.9933 0.0000
0.0000 0.0000 3.4468
In Sn Sb
4 4 2
Cartesian
1.4982 2.9984 0.0000 In
2.9984 7.4951 0.0000 In
5.9949 1.4982 0.0000 In
7.4951 5.9949 0.0000 In
1.1834 5.6801 1.7234 Sn
3.3132 1.1834 1.7234 Sn
5.6801 7.8099 1.7234 Sn
7.8099 3.3132 1.7234 Sn
0.0000 0.0000 0.0000 Sb
4.4966 4.4966 0.0000 Sb
```

Which of these has the highest theoretical density? SmTh3Os2